Dy2Er5Sc3 | PBE | relaxed

Output
VASP energy ... -4.890 eV per atom

abc: 10.5861 14.0405 9.2184
angles: 90.00 117.77 90.00
With the nearest neighbours (Å) after each atom.
Space group C2/c (No. 15)
Symmetry-distinct sites (fractional):
Dy 0.1738 0.1299 0.0437 (multiplicity 8)  3 Sc 3.05-3.35, 1 Er 3.39
Er 0.0000 0.0362 0.2500 (multiplicity 4)  3 Er 3.04-3.37, 2 Sc 3.36, 2 Dy 3.39
Er 0.0000 0.2526 0.2500 (multiplicity 4)  1 Er 3.04, 2 Sc 3.18
Er 0.0000 0.4978 0.7500 (multiplicity 4)  5 Sc 3.13-3.41, 2 Er 3.42
Er 0.1987 0.1233 0.6726 (multiplicity 8)  3 Sc 3.23-3.51, 3 Er 3.37-3.42, 2 Dy 3.49-3.55
Sc 0.0000 0.2751 0.7500 (multiplicity 4)  3 Er 3.13-3.30, 2 Sc 3.16, 4 Dy 3.20-3.35
Sc 0.1711 0.3680 0.5823 (multiplicity 8)  1 Dy 3.05, 1 Sc 3.16, 5 Er 3.18-3.41